The following is a PBE calculation of a relaxed BaSrAsCl crystal, from the Alexandria database.

## Properties
raw formation energy	-1541	meV per atom

a b c (Å): 5.532 5.532 5.532
angles (deg): 60.00 60.00 60.00
Fractional positions:
Ba: 0.000 0.000 0.000
Sr: 0.500 0.500 0.500
As: 0.750 0.750 0.750
Cl: 0.250 0.250 0.250

The following is a PBE calculation of a relaxed ReTePb4 crystal, from the Alexandria database.

## Properties
Fermi-level density of states	5.15	states/eV/cell
raw formation energy	1049	meV per atom

a b c (Å): 6.350 6.350 6.350
angles (deg): 60.00 60.00 60.00
Fractional positions:
Re: 0.000 0.000 0.000
Te: 0.750 0.750 0.750
Pb: 0.374 0.374 0.374
Pb: 0.374 0.374 0.877
Pb: 0.374 0.877 0.374
Pb: 0.877 0.374 0.374

The following is a PBE calculation of a relaxed PmPrGdZr crystal, from the Alexandria database.

## Properties
Fermi-level density of states	7.55	states/eV/cell
E_form	235.6	meV/atom

a b c (Å): 5.609 5.609 5.609
angles (deg): 60.00 60.00 60.00
Fractional positions:
Pm: 0.000 0.000 0.000
Pr: 0.750 0.750 0.750
Gd: 0.500 0.500 0.500
Zr: 0.250 0.250 0.250

The following is a PBE calculation of a relaxed KBa3Sr crystal, from the Alexandria database.

## Properties
Fermi-level density of states	7.73	states/eV/cell
E_form	456.0	meV/atom

a b c (Å): 7.340 7.340 7.340
angles (deg): 90.00 90.00 90.00
Fractional positions:
K: 0.000 0.000 0.000
Ba: 0.000 0.500 0.500
Ba: 0.500 0.000 0.500
Ba: 0.500 0.500 0.000
Sr: 0.500 0.500 0.500

The following is a PBE calculation of a relaxed CsEuF3 crystal, from the Alexandria database.

## Properties
Fermi-level density of states	5.31	states/eV/cell
raw formation energy	-3341	meV per atom

a b c (Å): 4.831 4.831 4.831
angles (deg): 90.00 90.00 90.00
Fractional positions:
Cs: 0.000 0.000 0.000
Eu: 0.500 0.500 0.500
F: 0.000 0.500 0.500
F: 0.500 0.000 0.500
F: 0.500 0.500 0.000

The following is a PBE calculation of a relaxed La2Mn2Sn crystal, from the Alexandria database.

## Properties
Fermi-level density of states	10.42	states/eV/cell
E_form	-103.2	meV/atom

a b c (Å): 7.460 7.460 4.423
angles (deg): 90.00 90.00 90.00
Fractional positions:
La: 0.177 0.323 0.000
La: 0.323 0.823 0.000
La: 0.677 0.177 0.000
La: 0.823 0.677 0.000
Mn: 0.123 0.623 0.500
Mn: 0.377 0.123 0.500
Mn: 0.623 0.877 0.500
Mn: 0.877 0.377 0.500
Sn: 0.000 0.000 0.500
Sn: 0.500 0.500 0.500